[1]
The following is a PBE calculation of a relaxed structure of NaZnCu2F8, from the Alexandria database.

Calculated values
crystal system = tetragonal
magnetization = 1.058 μB/cell
total energy = -3.94 eV per atom
formation energy without anion corrections = -1.798 eV/atom
Fermi-level density of states = 3.1 states/eV/cell

```
12
Lattice="-2.675 2.675 5.231 2.675 -2.675 5.231 2.675 2.675 -5.231" Properties=species:S:1:pos:R:3 pbc="T T T"
Na 0.000 0.000 0.000
Zn 2.675 0.000 2.616
Cu 0.000 0.000 5.231
Cu 0.000 2.675 2.616
F 3.663 1.632 -2.871
F 2.012 1.033 0.198
F 1.641 -0.663 5.033
F -0.988 1.042 2.360
F 1.632 1.687 2.871
F 1.033 3.338 -0.198
F 0.663 1.641 5.430
F 1.042 0.988 8.102
```

=====

[2]
The following is a PBE calculation of a relaxed structure of RbFeWAu2, from the Alexandria database.

Calculated values
crystal system = tetragonal
magnetization = 0.306 μB/cell
total energy = -2.42 eV per atom
energy relative to the elements = 3.368 eV/atom
Fermi-level density of states = 10.7 states/eV/cell

```
5
Lattice="5.310 0.000 0.000 0.000 5.310 0.000 0.000 0.000 5.021" Properties=species:S:1:pos:R:3 pbc="T T T"
Rb 0.000 0.000 0.000
Fe 2.655 2.655 2.510
W 0.000 0.000 2.510
Au 0.000 2.655 0.000
Au 2.655 0.000 0.000
```

=====

[3]
The following is a PBE calculation of a relaxed structure of Ta2RuSe, from the Alexandria database.

Calculated values
crystal system = monoclinic
magnetization = 0.000 μB/cell
total energy = -9.22 eV per atom
formation energy without anion corrections = -0.106 eV/atom
Fermi-level density of states = 3.0 states/eV/cell

```
4
Lattice="4.641 -1.555 0.000 4.641 1.555 0.000 -1.247 0.000 4.656" Properties=species:S:1:pos:R:3 pbc="T T T"
Ta 0.000 0.000 0.000
Ta 1.300 0.000 2.918
Ru 6.621 0.000 0.630
Se 3.870 0.000 2.280
```

=====

[4]
The following is a PBE calculation of a relaxed structure of MgRe2W, from the Alexandria database.

Calculated values
crystal system = trigonal
magnetization = 0.000 μB/cell
total energy = -9.56 eV per atom
energy relative to the elements = 0.300 eV/atom
Fermi-level density of states = 4.6 states/eV/cell

```
4
Lattice="1.417 0.818 9.216 -1.417 0.818 9.216 0.000 -1.637 9.216" Properties=species:S:1:pos:R:3 pbc="T T T"
Mg 0.000 0.000 0.000
Re 0.000 0.000 6.813
Re 0.000 0.000 20.835
W 0.000 0.000 13.824
```

=====

[5]
The following is a PBE calculation of a relaxed structure of CeAlH, from the Alexandria database.

Calculated values
distance to the lowest polymorph of the same formula = 0.97 eV per formula unit
crystal system = hexagonal
magnetization = 0.327 μB/cell
total energy = -4.46 eV per atom
Fermi-level density of states = 3.4 states/eV/cell

```
3
Lattice="3.762 0.000 0.000 -1.881 3.258 0.000 0.000 0.000 4.796" Properties=species:S:1:pos:R:3 pbc="T T T"
Ce 0.000 0.000 0.000
Al 1.881 1.086 2.398
H 0.000 2.172 0.000
```

=====

[6]
The following is a PBE calculation of a relaxed structure of Fe3CoP, from the Alexandria database.

Calculated values
distance to the lowest polymorph of the same formula = 2.69 eV per formula unit
crystal system = cubic
magnetization = 10.740 μB/cell
total energy = -6.55 eV per atom
energy relative to the elements = 1.028 eV/atom
Fermi-level density of states = 4.5 states/eV/cell

```
5
Lattice="4.306 0.000 0.000 0.000 4.306 0.000 0.000 0.000 4.306" Properties=species:S:1:pos:R:3 pbc="T T T"
Fe 0.000 0.000 2.153
Fe 0.000 2.153 0.000
Fe 2.153 0.000 0.000
Co 0.000 0.000 0.000
P 2.153 2.153 2.153
```

=====

[7]
The following is a PBE calculation of a relaxed structure of CoRhI2N, from the Alexandria database.

Calculated values
distance to the lowest polymorph of the same formula = 0.00 eV per formula unit
crystal system = tetragonal
magnetization = 0.175 μB/cell
total energy = -4.46 eV per atom
formation energy without anion corrections = 0.718 eV/atom
Fermi-level density of states = 6.0 states/eV/cell

```
5
Lattice="5.284 0.000 0.000 0.000 5.284 0.000 0.000 0.000 3.409" Properties=species:S:1:pos:R:3 pbc="T T T"
Co 0.000 0.000 0.000
Rh 2.642 2.642 1.704
I 0.000 2.642 0.000
I 2.642 0.000 0.000
N 0.000 0.000 1.704
```

=====

[8]
The following is a PBE calculation of a relaxed structure of EuFeBr2, from the Alexandria database.

Calculated values
crystal system = trigonal
magnetization = 4.201 μB/cell
total energy = -5.88 eV per atom
formation energy without anion corrections = -0.361 eV/atom
Fermi-level density of states = 4.2 states/eV/cell

```
4
Lattice="1.968 1.136 8.918 -1.968 1.136 8.918 0.000 -2.272 8.918" Properties=species:S:1:pos:R:3 pbc="T T T"
Eu 0.000 0.000 0.000
Fe 0.000 0.000 13.377
Br 0.000 0.000 3.038
Br 0.000 0.000 23.717
```